[1]
# Al2NiAsO6

Al2NiAsO6 after structural relaxation (PBE+U, the Alexandria database).

The space group is C2/c (No. 15) and the conventional cell measures 9.7215, 8.7958 and 5.2438 Å, with angles of 90.00, 102.09 and 90.00 degrees. Symmetry generates all atoms from Al at (0.1979, 0.0922, 0.2761), Ni at (0.0000, 0.4089, 0.2500), As at (0.0000, 0.2401, 0.7500), O at (0.1093, 0.3976, 0.6422), O at (0.1144, 0.2515, 0.0995) and O at (0.1528, 0.0718, 0.5829).

The total DFT energy (no corrections) is -256.10 eV for the cell shown. The calculation puts the size of the total moment at 2.98 μB per formula unit.


[2]
# AlNiAs2O8

AlNiAs2O8 after structural relaxation (PBE+U, the Alexandria database).

The space group is I-4m2 (No. 119) and the conventional cell measures 6.4064, 6.4064 and 6.3056 Å, with angles of 90.00, 90.00 and 90.00 degrees. Symmetry generates all atoms from Al at (0.0000, 0.0000, 0.0000), Ni at (0.0000, 0.5000, 0.7500), As at (0.0000, 0.0000, 0.5000), As at (0.0000, 0.5000, 0.2500), O at (0.0000, 0.1901, 0.6930) and O at (0.0000, 0.2968, 0.0716).

The total DFT energy (no corrections) is -139.28 eV for the cell shown. The calculation puts the size of the total moment at 1.12 μB per formula unit.